A relaxed structure of Th2Cu12Ni5. Source: the Alexandria database, functional PBE.

Summary:
formation enthalpy at 0 K = -155.6 meV/atom

The structure in CIF format:
```
data_Th2Cu12Ni5
_chemical_formula_sum 'Th6 Cu36 Ni15'
_cell_length_a 8.5603
_cell_length_b 8.5603
_cell_length_c 12.3818
_cell_angle_alpha 90.00
_cell_angle_beta 90.00
_cell_angle_gamma 120.00
_symmetry_space_group_name_H-M 'R -3 m'
_symmetry_Int_Tables_number 166
_symmetry_space_group_name_Hall '-R 3 2"'
loop_
_atom_site_label
_atom_site_fract_x
_atom_site_fract_y
_atom_site_fract_z
Th1 0.0000 0.0000 0.1760
Cu1 0.0000 0.2893 0.5000
Cu2 0.0014 0.5007 0.6544
Ni1 0.0000 0.0000 0.4003
Ni2 0.0000 0.5000 0.0000
```

---

A relaxed structure of MgAs4Cl. Source: the Alexandria database, functional PBE.

Summary:
formation energy without anion corrections = 0.24 eV per formula unit

The structure in CIF format:
```
data_MgAs4Cl
_chemical_formula_sum 'Mg4 As16 Cl4'
_cell_length_a 8.381
_cell_length_b 8.381
_cell_length_c 8.381
_cell_angle_alpha 90.00
_cell_angle_beta 90.00
_cell_angle_gamma 90.00
_symmetry_space_group_name_H-M 'F -4 3 m'
_symmetry_Int_Tables_number 216
_symmetry_space_group_name_Hall 'F -4 2 3'
loop_
_atom_site_label
_atom_site_fract_x
_atom_site_fract_y
_atom_site_fract_z
Mg1 0.000 0.000 0.000
As1 0.105 0.105 0.605
Cl1 0.250 0.250 0.250
```

---

A relaxed structure of TeAsSCl2. Source: the Alexandria database, functional PBE.

Summary:
formation energy without anion corrections = 2.30 eV per formula unit

The structure in CIF format:
```
data_TeAsSCl2
_chemical_formula_sum 'Te1 As1 S1 Cl2'
_cell_length_a 5.235
_cell_length_b 5.235
_cell_length_c 5.317
_cell_angle_alpha 90.00
_cell_angle_beta 90.00
_cell_angle_gamma 90.00
_symmetry_space_group_name_H-M 'P 4/m m m'
_symmetry_Int_Tables_number 123
_symmetry_space_group_name_Hall '-P 4 2'
loop_
_atom_site_label
_atom_site_fract_x
_atom_site_fract_y
_atom_site_fract_z
Te1 0.000 0.000 0.000
As1 0.500 0.500 0.500
S1 0.000 0.000 0.500
Cl1 0.000 0.500 0.000
```